# 1
VASP calculation (PBE) on a relaxed LiHg3Te crystal.

The structure in POSCAR format:
```
LiHg3Te
1.0
5.1516 0.0000 0.0000
0.0000 5.1516 0.0000
0.0000 0.0000 5.1516
Te Hg Li
1 3 1
Direct
0.5000 0.5000 0.5000 Te
0.0000 0.5000 0.0000 Hg
0.0000 0.0000 0.5000 Hg
0.5000 0.0000 0.0000 Hg
0.0000 0.0000 0.0000 Li
```

Values from the calculation:
The formation energy without anion corrections comes out at 0.424 eV/f.u. The magnetic moment is 0.000 μB per atom. Its space group is Pm-3m. The value obtained for the theoretical density is 8.9 g/cm³. As for the raw total energy: -1.107 eV per atom. For the density of states at the Fermi level, the calculation gives 3.52 states/eV/cell.

=====

# 2
VASP calculation (PBE) on a relaxed RbAl2CuPb crystal.

The structure in POSCAR format:
```
RbAl2CuPb
1.0
-4.5753 -2.5311 2.3953
2.8135 -1.2182 4.0867
-1.4535 4.9789 2.4849
Rb Al Cu Pb
1 2 1 1
Direct
0.5000 0.5000 0.5000 Rb
0.0000 0.0000 0.5000 Al
0.5000 0.0000 0.0000 Al
0.0000 0.5000 0.0000 Cu
0.0000 0.0000 0.0000 Pb
```

Values from the calculation:
The magnetic moment is 0.000 μB per atom. Its space group is P4/mmm. The value obtained for the theoretical density is 4.0 g/cm³. As for the raw total energy: -2.593 eV per atom. Its energy relative to the elements is 658 meV per atom. For the density of states at the Fermi level, the calculation gives 2.71 states/eV/cell.

=====

# 3
VASP calculation (PBE) on a relaxed ReMo crystal.

The structure in POSCAR format:
```
ReMo
1.0
2.7530 0.0000 0.0000
0.0000 4.9378 0.0000
0.0000 0.0000 4.8762
Re Mo
2 2
Direct
0.5000 0.5000 0.0000 Re
0.0000 0.0000 0.5000 Re
0.0000 0.5000 0.5000 Mo
0.5000 0.0000 0.0000 Mo
```

Values from the calculation:
The magnetic moment is 0.000 μB per atom. Its space group is Immm. The value obtained for the theoretical density is 14.1 g/cm³. As for the raw total energy: -10.744 eV per atom. Its energy relative to the elements is 896 meV per atom. For the density of states at the Fermi level, the calculation gives 3.21 states/eV/cell.